<1>
Entry from the Alexandria database: crystalline SrInAg3 at its relaxed geometry (PBE).

Properties
The value obtained for the total magnetic moment is 0.000 Bohr magnetons per cell. Its volume is 29.07 Å³/atom. Its density of states at the Fermi level is 2.08 states/eV per cell. Its crystal system is cubic.

```
SrInAg3
1.0
5.258 0.000 0.000
0.000 5.258 0.000
0.000 0.000 5.258
Sr In Ag
1 1 3
Direct
0.000 0.000 0.000
0.500 0.500 0.500
0.000 0.500 0.500
0.500 0.000 0.500
0.500 0.500 0.000
```

***

<2>
Entry from the Alexandria database: crystalline SrInAg3 at its relaxed geometry (PBE).

Properties
The value obtained for the total magnetic moment is 0.000 Bohr magnetons per cell. Its volume is 24.90 Å³/atom. Its density of states at the Fermi level is 1.29 states/eV per cell. Its crystal system is monoclinic.

```
SrInAg3
1.0
5.481 -2.430 0.000
5.481 2.430 0.000
-2.554 0.000 4.675
Sr In Ag
1 1 3
Direct
0.000 0.000 0.000
0.368 0.368 0.306
0.260 0.260 0.700
0.642 0.642 0.760
0.736 0.736 0.350
```

***

<3>
Entry from the Alexandria database: crystalline SrInAg3 at its relaxed geometry (PBE).

Properties
The value obtained for the total magnetic moment is 0.000 Bohr magnetons per cell. Its volume is 41.21 Å³/atom. Its density of states at the Fermi level is 1.05 states/eV per cell. Its crystal system is cubic.

```
SrInAg3
1.0
5.906 0.000 0.000
0.000 5.906 0.000
0.000 0.000 5.906
Sr In Ag
1 1 3
Direct
0.000 0.000 0.000
0.500 0.500 0.500
0.000 0.000 0.500
0.000 0.500 0.000
0.500 0.000 0.000
```

***

<4>
Entry from the Alexandria database: crystalline SrInAg3 at its relaxed geometry (PBE).

Properties
The value obtained for the total magnetic moment is 0.000 Bohr magnetons per cell. Its volume is 25.04 Å³/atom. Its density of states at the Fermi level is 6.44 states/eV per cell. Its crystal system is orthorhombic.

```
SrInAg3
1.0
6.424 0.000 0.000
0.000 12.841 0.000
0.000 0.000 6.072
Sr In Ag
4 4 12
Direct
0.000 0.000 0.000
0.000 0.500 0.000
0.500 0.000 0.500
0.500 0.500 0.500
0.249 0.250 0.249
0.251 0.750 0.749
0.749 0.250 0.251
0.751 0.750 0.751
0.000 0.107 0.501
0.000 0.393 0.501
0.000 0.607 0.499
0.000 0.893 0.499
0.249 0.750 0.249
0.251 0.250 0.749
0.500 0.107 0.999
0.500 0.393 0.999
0.500 0.607 0.001
0.500 0.893 0.001
0.749 0.750 0.251
0.751 0.250 0.751
```

***

Most stable to least stable: <2>, <4>, <1>, <3>

***

<1>
Entry from the Alexandria database: crystalline Sr2In5Ag at its relaxed geometry (PBE).

Properties
The value obtained for the total magnetic moment is 0.000 Bohr magnetons per cell. Its volume is 29.06 Å³/atom. Its density of states at the Fermi level is 5.88 states/eV per cell. Its crystal system is orthorhombic.

```
Sr2In5Ag
1.0
2.396 -9.313 0.000
2.396 9.313 0.000
0.000 0.000 10.421
Sr In Ag
4 10 2
Direct
0.000 0.000 0.000
0.000 0.000 0.500
0.195 0.805 0.750
0.805 0.195 0.250
0.195 0.805 0.104
0.195 0.805 0.396
0.359 0.641 0.034
0.359 0.641 0.466
0.403 0.597 0.750
0.597 0.403 0.250
0.641 0.359 0.534
0.641 0.359 0.966
0.805 0.195 0.604
0.805 0.195 0.896
0.448 0.552 0.250
0.552 0.448 0.750
```

***

<2>
Entry from the Alexandria database: crystalline Sr2In5Ag at its relaxed geometry (PBE).

Properties
The value obtained for the total magnetic moment is 0.000 Bohr magnetons per cell. Its volume is 28.23 Å³/atom. Its density of states at the Fermi level is 5.13 states/eV per cell. Its crystal system is tetragonal.

```
Sr2In5Ag
1.0
-3.363 3.363 4.991
3.363 -3.363 4.991
3.363 3.363 -4.991
Sr In Ag
2 5 1
Direct
0.000 0.500 0.500
0.500 0.000 0.500
0.027 0.027 0.000
0.510 0.510 0.520
0.510 0.990 0.000
0.990 0.510 0.000
0.990 0.990 0.480
0.439 0.439 0.000
```

***

Most stable to least stable: <1>, <2>

***

<1>
Entry from the Alexandria database: crystalline Sr3In4Ag4 at its relaxed geometry (PBE).

Properties
The value obtained for the total magnetic moment is 0.000 Bohr magnetons per cell. Its volume is 27.93 Å³/atom. Its density of states at the Fermi level is 6.06 states/eV per cell. Its crystal system is triclinic.

```
Sr3In4Ag4
1.0
4.289 0.000 0.000
-0.005 4.792 0.000
-2.142 -2.393 14.953
Sr In Ag
3 4 4
Direct
0.000 0.000 0.000
0.147 0.646 0.294
0.853 0.354 0.706
0.254 0.255 0.507
0.406 0.907 0.810
0.594 0.093 0.190
0.746 0.745 0.493
0.311 0.813 0.623
0.452 0.454 0.905
0.548 0.546 0.095
0.689 0.187 0.377
```

***

<2>
Entry from the Alexandria database: crystalline Sr3In4Ag4 at its relaxed geometry (PBE).

Properties
The value obtained for the total magnetic moment is 0.000 Bohr magnetons per cell. Its volume is 27.07 Å³/atom. Its density of states at the Fermi level is 4.03 states/eV per cell. Its crystal system is orthorhombic.

```
Sr3In4Ag4
1.0
-2.377 3.928 7.975
2.377 -3.928 7.975
2.377 3.928 -7.975
Sr In Ag
3 4 4
Direct
0.000 0.000 0.000
0.372 0.872 0.500
0.628 0.128 0.500
0.024 0.329 0.695
0.366 0.671 0.695
0.634 0.329 0.305
0.976 0.671 0.305
0.217 0.217 0.000
0.315 0.500 0.815
0.685 0.500 0.185
0.783 0.783 0.000
```

***

Most stable to least stable: <2>, <1>

***

<1>
Entry from the Alexandria database: crystalline Sr3InAg3 at its relaxed geometry (PBE).

Properties
The value obtained for the total magnetic moment is 0.000 Bohr magnetons per cell. Its volume is 36.19 Å³/atom. Its density of states at the Fermi level is 9.97 states/eV per cell. Its crystal system is hexagonal.

```
Sr3InAg3
1.0
9.547 0.000 0.000
-4.773 8.268 0.000
0.000 0.000 6.418
Sr In Ag
6 2 6
Direct
0.068 0.384 0.250
0.316 0.932 0.250
0.384 0.316 0.750
0.616 0.684 0.250
0.684 0.068 0.750
0.932 0.616 0.750
0.333 0.667 0.750
0.667 0.333 0.250
0.058 0.355 0.750
0.296 0.942 0.750
0.355 0.296 0.250
0.645 0.704 0.750
0.704 0.058 0.250
0.942 0.645 0.250
```

***

<2>
Entry from the Alexandria database: crystalline Sr3InAg3 at its relaxed geometry (PBE).

Properties
The value obtained for the total magnetic moment is 0.000 Bohr magnetons per cell. Its volume is 30.87 Å³/atom. Its density of states at the Fermi level is 7.64 states/eV per cell. Its crystal system is monoclinic.

```
Sr3InAg3
1.0
6.189 -2.320 0.000
6.189 2.320 0.000
-5.405 0.000 15.048
Sr In Ag
6 2 6
Direct
0.022 0.022 0.382
0.106 0.106 0.923
0.241 0.241 0.231
0.759 0.759 0.769
0.894 0.894 0.077
0.978 0.978 0.618
0.260 0.260 0.595
0.740 0.740 0.405
0.376 0.376 0.459
0.396 0.396 0.923
0.465 0.465 0.767
0.535 0.535 0.233
0.604 0.604 0.077
0.624 0.624 0.541
```

***

Most stable to least stable: <2>, <1>

***

<1>
Entry from the Alexandria database: crystalline Sr3In4Ag2 at its relaxed geometry (PBE).

Properties
The value obtained for the total magnetic moment is 0.000 Bohr magnetons per cell. Its volume is 30.29 Å³/atom. Its density of states at the Fermi level is 5.62 states/eV per cell. Its crystal system is monoclinic.

```
Sr3In4Ag2
1.0
6.062 -2.439 0.000
6.062 2.439 0.000
-2.649 0.000 9.220
Sr In Ag
3 4 2
Direct
0.000 0.000 0.000
0.382 0.382 0.624
0.618 0.618 0.376
0.089 0.089 0.647
0.298 0.298 0.933
0.702 0.702 0.067
0.911 0.911 0.353
0.300 0.300 0.244
0.700 0.700 0.756
```

***

<2>
Entry from the Alexandria database: crystalline Sr3In4Ag2 at its relaxed geometry (PBE).

Properties
The value obtained for the total magnetic moment is 0.000 Bohr magnetons per cell. Its volume is 29.00 Å³/atom. Its density of states at the Fermi level is 4.54 states/eV per cell. Its crystal system is monoclinic.

```
Sr3In4Ag2
1.0
5.932 -2.486 0.000
5.932 2.486 0.000
-3.830 0.000 8.847
Sr In Ag
3 4 2
Direct
0.000 0.000 0.000
0.318 0.318 0.357
0.682 0.682 0.643
0.019 0.019 0.357
0.260 0.260 0.918
0.740 0.740 0.082
0.981 0.981 0.643
0.409 0.409 0.737
0.591 0.591 0.263
```

***

Most stable to least stable: <2>, <1>

***

<1>
Entry from the Alexandria database: crystalline SrIn6Ag2 at its relaxed geometry (PBE).

Properties
The value obtained for the total magnetic moment is 0.000 Bohr magnetons per cell. Its volume is 32.22 Å³/atom. Its density of states at the Fermi level is 8.73 states/eV per cell. Its crystal system is cubic.

```
SrIn6Ag2
1.0
0.000 6.619 6.619
6.619 0.000 6.619
6.619 6.619 0.000
Sr In Ag
2 12 4
Direct
0.125 0.125 0.125
0.875 0.875 0.875
0.130 0.130 0.620
0.130 0.620 0.130
0.130 0.620 0.620
0.380 0.380 0.870
0.380 0.870 0.380
0.380 0.870 0.870
0.620 0.130 0.130
0.620 0.130 0.620
0.620 0.620 0.130
0.870 0.380 0.380
0.870 0.380 0.870
0.870 0.870 0.380
0.000 0.500 0.500
0.500 0.000 0.500
0.500 0.500 0.000
0.500 0.500 0.500
```

***

<2>
Entry from the Alexandria database: crystalline SrIn6Ag2 at its relaxed geometry (PBE).

Properties
The value obtained for the total magnetic moment is 0.000 Bohr magnetons per cell. Its volume is 26.50 Å³/atom. Its density of states at the Fermi level is 3.80 states/eV per cell. Its crystal system is tetragonal.

```
SrIn6Ag2
1.0
4.579 0.000 0.000
0.000 4.579 0.000
0.000 0.000 11.372
Sr In Ag
1 6 2
Direct
0.000 0.000 0.000
0.000 0.000 0.500
0.000 0.500 0.278
0.000 0.500 0.722
0.500 0.000 0.278
0.500 0.000 0.722
0.500 0.500 0.500
0.500 0.500 0.120
0.500 0.500 0.880
```

***

Most stable to least stable: <2>, <1>

***

<1>
Entry from the Alexandria database: crystalline Sr2In5Ag5 at its relaxed geometry (PBE).

Properties
The value obtained for the total magnetic moment is 0.000 Bohr magnetons per cell. Its volume is 24.99 Å³/atom. Its density of states at the Fermi level is 6.72 states/eV per cell. Its crystal system is orthorhombic.

```
Sr2In5Ag5
1.0
4.707 0.000 0.000
0.000 5.935 0.000
0.000 0.000 10.732
Sr In Ag
2 5 5
Direct
0.000 0.000 0.000
0.000 0.500 0.500
0.000 0.000 0.318
0.000 0.000 0.682
0.000 0.500 0.164
0.000 0.500 0.836
0.500 0.000 0.500
0.500 0.250 0.243
0.500 0.250 0.757
0.500 0.500 0.000
0.500 0.750 0.243
0.500 0.750 0.757
```

***

<2>
Entry from the Alexandria database: crystalline Sr2In5Ag5 at its relaxed geometry (PBE).

Properties
The value obtained for the total magnetic moment is 0.000 Bohr magnetons per cell. Its volume is 24.68 Å³/atom. Its density of states at the Fermi level is 6.22 states/eV per cell. Its crystal system is orthorhombic.

```
Sr2In5Ag5
1.0
4.685 0.000 0.000
0.000 6.111 0.000
0.000 0.000 10.343
Sr In Ag
2 5 5
Direct
0.000 0.000 0.000
0.000 0.500 0.500
0.500 0.000 0.500
0.500 0.248 0.240
0.500 0.248 0.760
0.500 0.752 0.240
0.500 0.752 0.760
0.000 0.000 0.333
0.000 0.000 0.667
0.000 0.500 0.160
0.000 0.500 0.840
0.500 0.500 0.000
```

***

Most stable to least stable: <2>, <1>

***

<1>
Entry from the Alexandria database: crystalline Sr3InAg at its relaxed geometry (PBE).

Properties
The value obtained for the total magnetic moment is 0.000 Bohr magnetons per cell. Its volume is 44.00 Å³/atom. Its density of states at the Fermi level is 6.55 states/eV per cell. Its crystal system is cubic.

```
Sr3InAg
1.0
6.037 0.000 0.000
0.000 6.037 0.000
0.000 0.000 6.037
Sr In Ag
3 1 1
Direct
0.000 0.000 0.500
0.000 0.500 0.000
0.500 0.000 0.000
0.500 0.500 0.500
0.000 0.000 0.000
```

***

<2>
Entry from the Alexandria database: crystalline Sr3InAg at its relaxed geometry (PBE).

Properties
The value obtained for the total magnetic moment is 0.000 Bohr magnetons per cell. Its volume is 36.49 Å³/atom. Its density of states at the Fermi level is 8.05 states/eV per cell. Its crystal system is orthorhombic.

```
Sr3InAg
1.0
2.872 -11.075 0.000
2.872 11.075 0.000
0.000 0.000 5.737
Sr In Ag
6 2 2
Direct
0.073 0.927 0.750
0.249 0.751 0.750
0.424 0.576 0.750
0.576 0.424 0.250
0.751 0.249 0.250
0.927 0.073 0.250
0.157 0.843 0.250
0.843 0.157 0.750
0.340 0.660 0.250
0.660 0.340 0.750
```

***

Most stable to least stable: <2>, <1>

***

<1>
Entry from the Alexandria database: crystalline SrIn2Ag4 at its relaxed geometry (PBE).

Properties
The value obtained for the total magnetic moment is 0.000 Bohr magnetons per cell. Its volume is 30.84 Å³/atom. Its density of states at the Fermi level is 2.77 states/eV per cell. Its crystal system is tetragonal.

```
SrIn2Ag4
1.0
-4.206 4.206 3.051
4.206 -4.206 3.051
4.206 4.206 -3.051
Sr In Ag
1 2 4
Direct
0.000 0.000 0.000
0.250 0.750 0.500
0.750 0.250 0.500
0.274 0.500 0.774
0.500 0.274 0.774
0.500 0.726 0.226
0.726 0.500 0.226
```

***

<2>
Entry from the Alexandria database: crystalline SrIn2Ag4 at its relaxed geometry (PBE).

Properties
The value obtained for the total magnetic moment is 0.000 Bohr magnetons per cell. Its volume is 23.41 Å³/atom. Its density of states at the Fermi level is 12.14 states/eV per cell. Its crystal system is orthorhombic.

```
SrIn2Ag4
1.0
19.579 0.000 0.000
0.000 4.903 0.000
0.000 0.000 6.828
Sr In Ag
4 8 16
Direct
0.135 0.250 0.006
0.365 0.750 0.506
0.635 0.250 0.494
0.865 0.750 0.994
0.032 0.750 0.232
0.225 0.250 0.527
0.275 0.750 0.027
0.468 0.250 0.732
0.532 0.750 0.268
0.725 0.250 0.973
0.775 0.750 0.473
0.968 0.250 0.768
0.041 0.750 0.738
0.083 0.250 0.503
0.172 0.750 0.318
0.185 0.750 0.717
0.315 0.250 0.217
0.328 0.250 0.818
0.417 0.750 0.003
0.459 0.250 0.238
0.541 0.750 0.762
0.583 0.250 0.997
0.672 0.750 0.182
0.685 0.750 0.783
0.815 0.250 0.283
0.828 0.250 0.682
0.917 0.750 0.497
0.959 0.250 0.262
```

***

Most stable to least stable: <2>, <1>